[1]
{"formula": "ErNi2B2", "functional": "PBE-GGA", "state": "optimized geometry", "lattice": [[-3.286, 0.691, 0.278], [-0.644, -3.496, 1.073], [3.196, 3.805, 7.893]], "species": ["Ni", "Ni", "Ni", "Ni", "Er", "Er", "B", "B", "B", "B"], "fractional_positions": [[0.450, 0.700, 0.901], [0.052, 0.802, 0.105], [0.550, 0.300, 0.099], [0.948, 0.198, 0.895], [0.829, 0.579, 0.659], [0.171, 0.421, 0.341], [0.380, 0.130, 0.760], [0.620, 0.870, 0.240], [0.723, 0.973, 0.447], [0.277, 0.027, 0.553]], "sg": "Imma (74)", "n_ef_per_ev_fu": 1.6, "formation_energy_ev_per_fu": -2.32}



[2]
{"formula": "MgBeIn", "functional": "PBE-GGA", "state": "optimized geometry", "lattice": [[4.328, 0.000, 0.000], [2.164, 3.748, 0.000], [2.164, 1.249, 3.534]], "species": ["Be", "In", "Mg"], "fractional_positions": [[0.250, 0.250, 0.250], [0.000, 0.000, 0.000], [0.500, 0.500, 0.500]], "sg": "F-43m (216)", "n_ef_per_ev_fu": 1.5, "formation_energy_ev_per_fu": 0.49}